K2LiNi3F12 | PBE+U | optimized geometry

Unit cell a=7.2128 b=7.2128 c=16.6358 alpha=90.00 beta=90.00 gamma=120.00
Space group R-3m (No. 166, hexagonal axes)
Unique sites:
K 0.0000 0.0000 0.1283 (multiplicity 6)
Li 0.0000 0.0000 0.5000 (multiplicity 3)
Ni 0.0000 0.5000 0.0000 (multiplicity 9)
F 0.0538 0.5269 0.1059 (multiplicity 18)
F 0.0668 0.5334 0.3545 (multiplicity 18)

- mass density (Mg/m³) = 3.25
- Fermi-level density of states (states/eV per cell) = 0.15
- VASP energy (eV/atom) = -4.03